1.
Material: Sm2NpIn9
Method: DFT, PBE
State: optimized geometry

Its symmetry is P4/mmm, No. 123. For the raw total energy, the calculation gives -4.227 eV/atom. For the formation energy from the elements, the calculation gives -308 meV per atom. As for the volume: 304.73 Å³/cell.

a = 4.6594 Å, b = 4.6594 Å, c = 14.0360 Å
α = 90.00°, β = 90.00°, γ = 90.00°
Each line ends with the local moment (μB).
Sites, in units of the cell vectors:
In1 0.0000 0.5000 0.5000  -0.01
In2 0.5000 0.0000 0.1642  0.00
In3 0.0000 0.5000 0.8358  0.00
In4 0.5000 0.5000 0.0000  0.01
In5 0.5000 0.5000 0.6680  -0.01
In6 0.5000 0.5000 0.3320  -0.01
Sm1 0.0000 0.0000 0.6665  -0.01
Np1 0.0000 0.0000 0.0000  3.95
In7 0.5000 0.0000 0.8358  0.00
In8 0.0000 0.5000 0.1642  0.00
Sm2 0.0000 0.0000 0.3335  -0.01
In9 0.5000 0.0000 0.5000  -0.01

=====

2.
Material: AcTb6Er
Method: DFT, PBE
State: optimized geometry

Its symmetry is C2/m, No. 12. The calculation puts the energy above the most stable polymorph in this dataset at 351.7 meV/atom. For the raw total energy, the calculation gives -4.163 eV/atom. For the formation energy from the elements, the calculation gives 394 meV per atom. As for the volume: 292.95 Å³/cell.

a = 5.9443 Å, b = 5.9443 Å, c = 8.9254 Å
α = 79.33°, β = 79.33°, γ = 72.64°
Sites, in units of the cell vectors:
Tb1 0.4871 0.9603 0.6978
Ac1 0.0000 0.0000 0.0000
Tb2 0.0397 0.5129 0.3022
Tb3 0.6228 0.6228 0.0797
Tb4 0.5129 0.0397 0.3022
Tb5 0.9603 0.4871 0.6978
Er1 0.5000 0.5000 0.5000
Tb6 0.3772 0.3772 0.9203

=====

3.
Material: Ac2GaPtO6
Method: DFT, PBE
State: optimized geometry

Its symmetry is Fm-3m, No. 225. For the raw total energy, the calculation gives -6.854 eV/atom. The uncorrected formation energy comes out at -2.151 eV per atom. As for the volume: 268.07 Å³/cell.

a = 5.7416 Å, b = 5.7462 Å, c = 8.1251 Å
α = 90.00°, β = 90.00°, γ = 90.00°
Sites, in units of the cell vectors:
Ga1 0.5000 0.2501 0.5000
O1 0.7438 0.4930 0.5000
O2 0.2563 0.0066 0.5000
O3 0.0000 0.7507 0.2439
Ac1 0.0000 0.2496 0.7498
Ac2 0.5000 0.7504 0.7502
Ga2 0.0000 0.7499 0.0000
O4 0.2437 0.9934 0.0000
O5 0.5000 0.2493 0.2561
O6 0.7563 0.9934 0.0000
Pt1 0.0000 0.7499 0.5000
O7 0.7562 0.5070 0.0000
O8 0.2562 0.4930 0.5000
Pt2 0.5000 0.2501 0.0000
Ac3 0.5000 0.7504 0.2498
Ac4 0.0000 0.2496 0.2502
O9 0.0000 0.7507 0.7561
O10 0.7437 0.0066 0.5000
O11 0.5000 0.2493 0.7439
O12 0.2438 0.5070 0.0000

=====

4.
Material: AlCrTe2
Method: DFT, PBE
State: optimized geometry

Its symmetry is Imm2, No. 44. For the raw total energy, the calculation gives -4.845 eV/atom. The uncorrected formation energy comes out at 0.067 eV per atom. As for the volume: 97.98 Å³/cell.

a = 7.2991 Å, b = 7.2991 Å, c = 7.2991 Å
α = 149.73°, β = 149.93°, γ = 43.20°
Each line ends with the local moment (μB).
Sites, in units of the cell vectors:
Al1 0.4602 0.4602 0.0000  0.02
Cr1 0.2114 0.7114 0.5000  3.69
Te1 0.7870 0.2870 0.5000  -0.12
Te2 0.0414 0.0414 0.0000  -0.03

=====

5.
Material: Ac2YBe2O6
Method: DFT, PBE
State: optimized geometry

Its symmetry is P-3, No. 147. For the raw total energy, the calculation gives -7.584 eV/atom. The uncorrected formation energy comes out at -2.867 eV per atom. As for the volume: 230.95 Å³/cell.

a = 5.3952 Å, b = 5.3952 Å, c = 9.1614 Å
α = 90.00°, β = 90.00°, γ = 120.00°
Sites, in units of the cell vectors:
Ac1 0.3333 0.6667 0.2655
O1 0.3628 0.0669 0.1542
O2 0.0669 0.7041 0.8458
Y1 0.0000 0.0000 0.0000
O3 0.6372 0.9331 0.8458
O4 0.2959 0.3628 0.8458
Ac2 0.6667 0.3333 0.7345
Be1 0.6667 0.3333 0.1495
O5 0.9331 0.2959 0.1542
Be2 0.3333 0.6667 0.8505
O6 0.7041 0.6372 0.1542

=====

6.
Material: Tb2CeBr
Method: DFT, PBE
State: optimized geometry

Its symmetry is R-3m, No. 166. For the raw total energy, the calculation gives -4.720 eV/atom. The uncorrected formation energy comes out at -0.503 eV per atom. As for the volume: 116.45 Å³/cell.

a = 3.6329 Å, b = 3.6329 Å, c = 10.4020 Å
α = 79.94°, β = 79.94°, γ = 60.00°
Each line ends with the local moment (μB).
Sites, in units of the cell vectors:
Br1 0.0000 0.0000 0.0000  0.00
Tb1 0.2570 0.2570 0.2290  0.03
Tb2 0.7430 0.7430 0.7710  0.03
Ce1 0.5000 0.5000 0.5000  0.66

=====

7.
Material: Fe2Tc
Method: DFT, PBE
State: optimized geometry

Its symmetry is I4/mmm, No. 139. The calculation puts the energy above the most stable polymorph in this dataset at 46.4 meV/atom. For the raw total energy, the calculation gives -9.031 eV/atom. For the formation energy from the elements, the calculation gives 67 meV per atom. As for the volume: 37.58 Å³/cell.

a = 2.9014 Å, b = 4.9128 Å, c = 2.9014 Å
α = 72.83°, β = 90.00°, γ = 107.17°
Each line ends with the local moment (μB).
Sites, in units of the cell vectors:
Tc1 0.0000 0.0000 0.0000  -0.11
Fe1 0.6737 0.3475 0.3263  2.28
Fe2 0.3263 0.6525 0.6737  2.28

=====

8.
Material: SnHgPO2
Method: DFT, PBE
State: optimized geometry

Its symmetry is P4/mmm, No. 123. The calculation puts the energy above the most stable polymorph in this dataset at 721.5 meV/atom. For the raw total energy, the calculation gives -3.499 eV/atom. The uncorrected formation energy comes out at 0.427 eV per atom. As for the volume: 90.07 Å³/cell.

a = 4.2045 Å, b = 4.2045 Å, c = 5.0951 Å
α = 90.00°, β = 90.00°, γ = 90.00°
Sites, in units of the cell vectors:
P1 0.0000 0.0000 0.5000
Hg1 0.0000 0.0000 0.0000
O1 0.5000 0.0000 0.0000
O2 0.0000 0.5000 0.0000
Sn1 0.5000 0.5000 0.5000

=====

Number 1: DOS at the Fermi energy 14.64 states/eV/f.u., spin magnetization 4.15 μB per cell. Number 2: DOS at the Fermi energy 14.82 states/eV/f.u., spin magnetization 0.00 μB per cell. Number 3: DOS at the Fermi energy 2.17 states/eV/f.u., spin magnetization 0.00 μB per cell. Number 4: DOS at the Fermi energy 1.81 states/eV/f.u., spin magnetization 4.04 μB per cell. Number 5: DOS at the Fermi energy 1.27 states/eV/f.u., spin magnetization 0.00 μB per cell. Number 6: DOS at the Fermi energy 5.64 states/eV/f.u., spin magnetization 0.90 μB per cell. Number 7: DOS at the Fermi energy 3.29 states/eV/f.u., spin magnetization 4.42 μB per cell. Number 8: DOS at the Fermi energy 3.38 states/eV/f.u., spin magnetization 0.00 μB per cell.